Entry w
! RuCl PBE relaxed; values from VASP
&SYSTEM
  ibrav = 0, nat = 16, ntyp = 2
/
ATOMIC_SPECIES
Ru 101.07 Ru.upf
Cl 35.45 Cl.upf
ATOMIC_POSITIONS crystal
Ru 0.0582 0.3403 0.0930
Ru 0.1597 0.5582 0.3430
Ru 0.3403 0.0582 0.9070
Ru 0.4418 0.8403 0.1570
Ru 0.5582 0.1597 0.6570
Ru 0.6597 0.9418 0.4070
Ru 0.8403 0.4418 0.8430
Ru 0.9418 0.6597 0.5930
Cl 0.1158 0.8842 0.2500
Cl 0.2335 0.7665 0.7500
Cl 0.2665 0.2665 0.5000
Cl 0.3842 0.3842 0.0000
Cl 0.6158 0.6158 0.5000
Cl 0.7335 0.7335 0.0000
Cl 0.7665 0.2335 0.2500
Cl 0.8842 0.1158 0.7500
CELL_PARAMETERS angstrom
6.8906 0.0000 0.0000
0.0000 6.8906 0.0000
0.0000 0.0000 6.7485
! spin magnetization: 0.0 μB per formula unit

***

Entry x
! RuCl PBE relaxed; values from VASP
&SYSTEM
  ibrav = 0, nat = 4, ntyp = 2
/
ATOMIC_SPECIES
Ru 101.07 Ru.upf
Cl 35.45 Cl.upf
ATOMIC_POSITIONS crystal
Ru 0.0000 0.0000 0.0000
Ru 0.2998 0.5536 0.1578
Cl 0.7856 0.4653 0.3647
Cl 0.9871 0.0484 0.7523
CELL_PARAMETERS angstrom
2.9768 0.0000 0.0000
-1.4870 3.3451 0.0000
-0.4316 -0.1989 8.9004
! spin magnetization: 0.0 μB per formula unit

***

Entry y
! RuCl PBE relaxed; values from VASP
&SYSTEM
  ibrav = 0, nat = 16, ntyp = 2
/
ATOMIC_SPECIES
Ru 101.07 Ru.upf
Cl 35.45 Cl.upf
ATOMIC_POSITIONS crystal
Ru 0.0738 0.6188 0.0000
Ru 0.1050 0.4142 0.5000
Ru 0.3812 0.0738 0.0000
Ru 0.4142 0.8950 0.5000
Ru 0.5858 0.1050 0.5000
Ru 0.6188 0.9262 0.0000
Ru 0.8950 0.5858 0.5000
Ru 0.9262 0.3812 0.0000
Cl 0.1675 0.7954 0.5000
Cl 0.2046 0.1675 0.5000
Cl 0.2754 0.4733 0.0000
Cl 0.4733 0.7246 0.0000
Cl 0.5267 0.2754 0.0000
Cl 0.7246 0.5267 0.0000
Cl 0.7954 0.8325 0.5000
Cl 0.8325 0.2046 0.5000
CELL_PARAMETERS angstrom
9.6016 0.0000 0.0000
0.0000 9.6016 0.0000
0.0000 0.0000 3.5538
! spin magnetization: 0.0 μB per formula unit

***

Short version: entry w is the least stable of them.